# 1
The following is a PBE-GGA calculation of a geometry-optimized NaScIn4 structure, from Alexandria via LeMat-Bulk.

abc: 6.015 6.015 6.015
angles: 60.00 60.00 60.00
Sites, in units of the cell vectors:
Sc1 0.000 0.000 0.000
Na1 0.250 0.250 0.250
In1 0.625 0.625 0.124
In2 0.625 0.124 0.625
In3 0.625 0.625 0.625
In4 0.124 0.625 0.625

Values from the calculation:
- Energy of formation from the pure elements: -6 kJ per mole of atoms
- Symmetry: F-43m
- Energy above the most stable polymorph in this dataset: 118.8 meV per atom



# 2
The following is a PBE-GGA calculation of a geometry-optimized Be3VS structure, from Alexandria via LeMat-Bulk.

abc: 4.047 4.047 4.047
angles: 90.00 90.00 90.00
Last column: magnetic moment on the atom in μB.
Sites, in units of the cell vectors:
Be1 0.000 0.500 0.000  -0.01
Be2 0.000 0.000 0.500  -0.01
Be3 0.500 0.000 0.000  -0.01
S1 0.000 0.000 0.000  0.10
V1 0.500 0.500 0.500  2.15

Values from the calculation:
- Energy relative to the elements, uncorrected: 4.21 eV/f.u.
- Symmetry: Pm-3m
- Energy above the most stable polymorph in this dataset: 0.0 meV per atom



# 3
The following is a PBE-GGA calculation of a geometry-optimized BaDyCd2 structure, from Alexandria via LeMat-Bulk.

abc: 3.881 3.881 10.526
angles: 79.37 79.37 60.00
Sites, in units of the cell vectors:
Cd1 0.741 0.741 0.777
Cd2 0.259 0.259 0.223
Ba1 0.500 0.500 0.500
Dy1 0.000 0.000 0.000

Values from the calculation:
- Energy of formation from the pure elements: -6 kJ per mole of atoms
- Symmetry: R-3m



What total moment values result from the calculations? In sequence: 0.0, 2.6, 0.0 Bohr magnetons per cell.
What calculated volume values result from the calculations? In sequence: 153.88, 66.29, 134.18 Å³/cell.